No. 1
DFT (PBE) results for a relaxed structure of Ce3ScSn5.

For the magnetic moment, the calculation gives 0.01 μB per formula unit. For the energy of formation, the calculation gives -0.642 eV per atom. For the electronic total energy, the calculation gives -5.547 eV per atom.

It has space group P6_3/mcm (No. 193), with a = 9.3382 Å, b = 9.3382 Å, c = 6.3389 Å, α = 90.00°, β = 90.00° and γ = 120.00°. The asymmetric unit holds Ce at (0.0000, 0.3844, 0.2500), Sc at (0.0000, 0.0000, 0.0000), Sn at (0.0000, 0.2724, 0.7500) and Sn at (0.3333, 0.6667, 0.0000).



No. 2
DFT (PBE) results for a relaxed structure of DyThHg3.

For the magnetic moment, the calculation gives 0.00 μB per formula unit. The energy above the most stable polymorph in this dataset comes out at 0.0 kJ per mole of atoms. For the energy of formation, the calculation gives -0.322 eV per atom. For the electronic total energy, the calculation gives -2.907 eV per atom.

It has space group Cmcm (No. 63), with a = 3.5350 Å, b = 29.4586 Å, c = 4.9708 Å, α = 90.00°, β = 90.00° and γ = 90.00°. The asymmetric unit holds Dy at (0.0000, 0.2116, 0.2500), Th at (0.0000, 0.0760, 0.7500), Hg at (0.0000, 0.3182, 0.2500), Hg at (0.0000, 0.3766, 0.7500) and Hg at (0.0000, 0.4756, 0.7500).



No. 3
DFT (PBE) results for a relaxed structure of KRb4Cl4.

For the magnetic moment, the calculation gives 0.09 μB per formula unit. For the electronic total energy, the calculation gives -3.064 eV per atom. For the uncorrected formation energy, the calculation gives -1691 meV per atom.

It has space group C2/m (No. 12), with a = 15.8873 Å, b = 4.6755 Å, c = 11.7279 Å, α = 90.00°, β = 120.27° and γ = 90.00°. The asymmetric unit holds K at (0.0000, 0.0000, 0.0000), Rb at (0.1050, 0.5000, 0.3934), Rb at (0.1994, 0.0000, 0.8059), Cl at (0.0949, 0.5000, 0.9052) and Cl at (0.1993, 0.0000, 0.2919).



No. 4
DFT (PBE) results for a relaxed structure of NaAgMo2.

For the magnetic moment, the calculation gives 0.00 μB per formula unit. The energy above the most stable polymorph in this dataset comes out at 0.0 kJ per mole of atoms. For the energy of formation, the calculation gives 1.362 eV per atom. For the electronic total energy, the calculation gives -5.097 eV per atom.

It has space group I-42d (No. 122), with a = 7.8476 Å, b = 7.8476 Å, c = 4.9596 Å, α = 90.00°, β = 90.00° and γ = 90.00°. The asymmetric unit holds Na at (0.0000, 0.0000, 0.0000), Ag at (0.0000, 0.0000, 0.5000) and Mo at (0.2265, 0.2500, 0.6250).



No. 5
DFT (PBE) results for a relaxed structure of Ce4IrAu2.

For the magnetic moment, the calculation gives 3.63 μB per formula unit. The energy above the most stable polymorph in this dataset comes out at 0.0 kJ per mole of atoms. For the energy of formation, the calculation gives -0.482 eV per atom. For the electronic total energy, the calculation gives -6.075 eV per atom.

It has space group Cmmm (No. 65), with a = 7.0567 Å, b = 10.1221 Å, c = 5.1743 Å, α = 90.00°, β = 90.00° and γ = 90.00°. The asymmetric unit holds Ce at (0.2062, 0.0000, 0.0000), Ce at (0.2500, 0.2500, 0.5000), Ir at (0.0000, 0.0000, 0.5000) and Au at (0.0000, 0.2857, 0.0000).



No. 6
DFT (PBE) results for a relaxed structure of ThNpOs2.

For the magnetic moment, the calculation gives 2.00 μB per formula unit. The energy above the most stable polymorph in this dataset comes out at 0.0 kJ per mole of atoms. For the energy of formation, the calculation gives -0.060 eV per atom. For the electronic total energy, the calculation gives -10.765 eV per atom.

It has space group R-3m (No. 166, hexagonal axes), with a = 4.4489 Å, b = 4.4489 Å, c = 15.4451 Å, α = 90.00°, β = 90.00° and γ = 120.00°. The asymmetric unit holds Th at (0.0000, 0.0000, 0.0000), Np at (0.0000, 0.0000, 0.5000) and Os at (0.0000, 0.0000, 0.2143).



No. 7
DFT (PBE) results for a relaxed structure of ZnCo2Br.

For the magnetic moment, the calculation gives 2.80 μB per formula unit. The energy above the most stable polymorph in this dataset comes out at 38.3 kJ per mole of atoms. For the electronic total energy, the calculation gives -3.623 eV per atom. For the uncorrected formation energy, the calculation gives 666 meV per atom.

It has space group C2/m (No. 12), with a = 5.5971 Å, b = 8.3677 Å, c = 3.0888 Å, α = 90.00°, β = 123.11° and γ = 90.00°. The asymmetric unit holds Zn at (0.0000, 0.0000, 0.0000), Co at (0.2500, 0.2500, 0.5000) and Br at (0.0000, 0.5000, 0.0000).



No. 8
DFT (PBE) results for a relaxed structure of Tl2SiSb.

For the magnetic moment, the calculation gives 0.00 μB per formula unit. The energy above the most stable polymorph in this dataset comes out at 21.7 kJ per mole of atoms. For the electronic total energy, the calculation gives -3.193 eV per atom. For the uncorrected formation energy, the calculation gives 376 meV per atom.

It has space group I-4m2 (No. 119), with a = 5.0603 Å, b = 5.0603 Å, c = 8.2771 Å, α = 90.00°, β = 90.00° and γ = 90.00°. The asymmetric unit holds Tl at (0.0000, 0.0000, 0.0000), Tl at (0.0000, 0.5000, 0.2500), Si at (0.0000, 0.0000, 0.5000) and Sb at (0.0000, 0.5000, 0.7500).